1.
Compound: YNbZn
Source: OQMD
Functional: PBE-GGA
Structure: optimized geometry

Output
Distance to the lowest polymorph of the same formula in meV/atom: 0
Volume in A^3/atom: 24.6

a b c (Å): 4.7059 4.7059 4.7059
angles (deg): 60.00 60.00 60.00
Atoms (fractional coordinates):
Nb  0.0000  0.0000  0.0000
Zn  0.7500  0.7500  0.7500
Y  0.2500  0.2500  0.2500


2.
Compound: AgAsPO
Source: OQMD
Functional: PBE-GGA
Structure: optimized geometry

Output
Distance to the lowest polymorph of the same formula in meV/atom: 58
Volume in A^3/atom: 17.8

a b c (Å): 3.8629 6.2204 5.9229
angles (deg): 90.00 90.00 90.00
Atoms (fractional coordinates):
Ag  0.5000  0.6619  0.5149
Ag  0.5000  0.3381  0.0149
O  0.5000  0.7112  0.9185
O  0.5000  0.2888  0.4185
As  0.0000  0.2055  0.4618
As  0.0000  0.7945  0.9618
P  0.0000  0.8386  0.3588
P  0.0000  0.1614  0.8588


3.
Compound: ZrCuAsAu
Source: OQMD
Functional: PBE-GGA
Structure: optimized geometry

Output
Distance to the lowest polymorph of the same formula in meV/atom: 207
Volume in A^3/atom: 18.2

a b c (Å): 4.6891 4.6891 4.6891
angles (deg): 60.00 60.00 60.00
Atoms (fractional coordinates):
Cu  0.7500  0.7500  0.7500
Zr  0.5000  0.5000  0.5000
Au  0.2500  0.2500  0.2500
As  0.0000  0.0000  0.0000


4.
Compound: TbGdGa2Pt4
Source: OQMD
Functional: PBE-GGA
Structure: optimized geometry

Output
Raw total energy in eV/atom: -5.9983
Volume in A^3/atom: 19.2

a b c (Å): 4.3992 4.3992 9.1616
angles (deg): 90.00 90.00 120.00
Atoms (fractional coordinates):
Pt  0.3333  0.6667  0.8333
Pt  0.0000  0.0000  0.3351
Pt  0.3333  0.6667  0.1667
Pt  0.0000  0.0000  0.6649
Tb  0.3333  0.6667  0.5000
Gd  0.0000  0.0000  0.0000
Ga  0.6667  0.3333  0.7497
Ga  0.6667  0.3333  0.2503